1.
! GGA-PBE La6HRh2Cl3, relaxed; values from VASP
! Magnetization   0.83 μB per cell
! Crystal system   monoclinic
! Space group   C2/m (12)
! Energy   -5.5563 eV per atom
&SYSTEM
  ibrav = 0, nat = 12, ntyp = 4
/
ATOMIC_SPECIES
Cl 35.45 Cl.upf
H 1.01 H.upf
Rh 102.91 Rh.upf
La 138.91 La.upf
ATOMIC_POSITIONS angstrom
Cl -2.209 3.979 3.763
Cl 4.551 0.076 3.763
H 0.000 0.000 0.000
Rh 0.037 4.045 -0.005
Rh 3.485 2.054 -0.005
La 0.056 4.060 5.949
La -1.147 1.977 1.577
La 3.489 2.078 5.949
La 2.286 -0.005 1.577
La -0.007 -0.012 5.857
Cl 1.171 2.028 3.763
La 2.349 4.067 1.668
CELL_PARAMETERS angstrom
7.009 0.019 -0.005
-3.486 6.080 -0.005
-1.181 -2.044 7.536

***

2.
! GGA-PBE La8HRh3Cl4, relaxed; values from VASP
! Magnetization   0.42 μB per cell
! Crystal system   trigonal
! Space group   R-3m (166)
! Energy   -5.6743 eV per atom
&SYSTEM
  ibrav = 0, nat = 16, ntyp = 4
/
ATOMIC_SPECIES
La 138.91 La.upf
Cl 35.45 Cl.upf
Rh 102.91 Rh.upf
H 1.01 H.upf
ATOMIC_POSITIONS angstrom
La 0.065 -1.072 -3.038
La -3.098 -0.830 -0.459
Cl -0.065 2.159 -3.468
La -5.543 -3.915 0.111
Rh 0.371 -1.619 -5.828
Rh -2.772 -1.397 -3.224
La -3.185 1.346 -3.916
Cl -3.209 2.381 -0.864
Cl -3.143 0.222 2.604
La -5.610 -1.722 -3.411
La -2.360 -4.140 -2.533
H 0.436 -3.778 -2.360
La -0.001 1.120 -6.560
La -2.447 -1.964 -5.990
Rh -2.707 -3.556 0.243
Cl 0.000 0.000 0.000
CELL_PARAMETERS angstrom
-0.130 4.318 -6.936
0.872 -7.556 -4.721
-6.287 0.443 5.208

***

3.
! GGA-PBE La4HRhCl2, relaxed; values from VASP
! Magnetization   0.13 μB per cell
! Crystal system   monoclinic
! Space group   P2/m (10)
! Energy   -5.3325 eV per atom
&SYSTEM
  ibrav = 0, nat = 8, ntyp = 4
/
ATOMIC_SPECIES
La 138.91 La.upf
Cl 35.45 Cl.upf
H 1.01 H.upf
Rh 102.91 Rh.upf
ATOMIC_POSITIONS angstrom
La -2.797 2.447 3.045
Cl 0.230 3.028 3.169
H -3.032 2.554 0.270
Cl 2.820 3.360 0.174
La -0.328 2.826 0.119
La 3.257 3.609 3.293
La 0.346 6.116 3.494
Rh 0.000 0.000 0.000
CELL_PARAMETERS angstrom
-0.442 2.886 -2.725
-5.622 2.222 3.266
6.082 3.833 3.073

***

4.
! GGA-PBE La4HRuCl2, relaxed; values from VASP
! Magnetization   0.00 μB per cell
! Crystal system   monoclinic
! Space group   P2/m (10)
! Energy   -5.4981 eV per atom
&SYSTEM
  ibrav = 0, nat = 8, ntyp = 4
/
ATOMIC_SPECIES
La 138.91 La.upf
Cl 35.45 Cl.upf
Ru 101.07 Ru.upf
H 1.01 H.upf
ATOMIC_POSITIONS angstrom
La 0.000 -0.179 6.057
Cl 0.000 2.187 3.850
La 0.000 4.553 1.644
La 2.007 1.083 1.612
Cl 2.007 -1.188 3.804
Ru 2.007 3.375 0.046
H 0.000 0.000 0.000
La 2.007 3.291 6.089
CELL_PARAMETERS angstrom
4.015 0.000 0.000
0.000 6.750 0.092
0.000 -2.376 7.609

***

5.
! GGA-PBE LaHSCl2, relaxed; values from VASP
! Offset from the most stable computed form   0.0 meV/atom
! Magnetization   0.00 μB per cell
! Crystal system   tetragonal
! Space group   P4/mmm (123)
! Energy   -4.1397 eV per atom
&SYSTEM
  ibrav = 0, nat = 5, ntyp = 4
/
ATOMIC_SPECIES
Cl 35.45 Cl.upf
S 32.06 S.upf
H 1.01 H.upf
La 138.91 La.upf
ATOMIC_POSITIONS angstrom
Cl 2.338 0.000 0.000
S 0.000 0.000 2.064
Cl 0.000 2.338 0.000
H 0.000 0.000 0.000
La 2.338 2.338 2.064
CELL_PARAMETERS angstrom
4.677 0.000 0.000
0.000 4.677 0.000
0.000 0.000 4.128

***

6.
! GGA-PBE LaHSCl2, relaxed; values from VASP
! Offset from the most stable computed form   101.7 meV/atom
! Magnetization   2.00 μB per cell
! Crystal system   tetragonal
! Space group   P4/mmm (123)
! Energy   -4.0380 eV per atom
&SYSTEM
  ibrav = 0, nat = 5, ntyp = 4
/
ATOMIC_SPECIES
Cl 35.45 Cl.upf
La 138.91 La.upf
S 32.06 S.upf
H 1.01 H.upf
ATOMIC_POSITIONS angstrom
Cl 0.000 2.802 0.000
La 0.000 0.000 0.000
S 0.000 0.000 2.870
Cl 2.802 0.000 0.000
H 2.802 2.802 2.870
CELL_PARAMETERS angstrom
5.605 0.000 0.000
0.000 5.605 0.000
0.000 0.000 5.739